Record 1
Sm6Tl3Cu: optimized geometry, PBE.

a = 5.358 Å, b = 9.296 Å, c = 11.838 Å
α = 90.00°, β = 90.00°, γ = 90.00°
Element x y z (fractional)
Sm1 0.000 0.323 0.081
Sm2 0.000 0.342 0.418
Sm3 0.500 0.505 0.737
Sm4 0.500 0.823 0.419
Sm5 0.000 0.677 0.919
Sm6 0.500 0.495 0.263
Sm7 0.000 0.005 0.763
Sm8 0.000 0.658 0.582
Sm9 0.500 0.842 0.082
Sm10 0.500 0.177 0.581
Sm11 0.000 0.995 0.237
Sm12 0.500 0.158 0.918
Tl1 0.500 0.838 0.747
Tl2 0.500 0.500 0.000
Tl3 0.000 0.662 0.247
Tl4 0.000 0.000 0.500
Tl5 0.500 0.162 0.253
Tl6 0.000 0.338 0.753
Cu1 0.000 0.000 0.000
Cu2 0.500 0.500 0.500

- Raw total energy: -82.93 eV per cell
- Space-group type: No. 58
- Formation enthalpy at 0 K: -196 meV per atom
- Mass density: 8892 kg/m3



Record 2
Sm6Tl2Cu: optimized geometry, PBE.

a = 5.209 Å, b = 7.378 Å, c = 8.856 Å
α = 114.62°, β = 107.05°, γ = 90.00°
Element x y z (fractional)
Sm1 0.843 0.601 0.686
Sm2 0.157 0.399 0.314
Sm3 0.500 0.773 0.000
Sm4 0.843 0.085 0.686
Sm5 0.500 0.227 0.000
Sm6 0.157 0.915 0.314
Tl1 0.666 0.667 0.333
Tl2 0.334 0.333 0.667
Cu1 0.000 0.000 0.000

- Raw total energy: -37.05 eV per cell
- Space-group type: No. 12
- Formation enthalpy at 0 K: 10 meV per atom
- Energy above the lowest structure with this stoichiometry: 0.219 eV per atom
- Mass density: 7792 kg/m3



Record 3
Sm8Tl2Cu: optimized geometry, PBE.

a = 5.209 Å, b = 6.851 Å, c = 9.928 Å
α = 103.89°, β = 105.21°, γ = 90.00°
Element x y z (fractional)
Tl1 0.182 0.751 0.364
Tl2 0.818 0.249 0.636
Sm1 0.351 0.015 0.701
Sm2 0.649 0.985 0.299
Sm3 0.409 0.538 0.819
Sm4 0.208 0.309 0.416
Sm5 0.014 0.778 0.028
Sm6 0.591 0.462 0.181
Sm7 0.986 0.222 0.972
Sm8 0.792 0.691 0.584
Cu1 0.500 0.000 0.000

- Raw total energy: -48.07 eV per cell
- Space-group type: No. 12
- Formation enthalpy at 0 K: -136 meV per atom
- Mass density: 8400 kg/m3



Record 4
SmTlCu2: optimized geometry, PBE.

a = 4.797 Å, b = 4.797 Å, c = 4.797 Å
α = 60.00°, β = 60.00°, γ = 60.00°
Element x y z (fractional)
Cu1 0.250 0.250 0.250
Cu2 0.750 0.750 0.750
Tl1 0.500 0.500 0.500
Sm1 0.000 0.000 0.000

- Raw total energy: -15.95 eV per cell
- Space-group type: No. 225
- Formation enthalpy at 0 K: -168 meV per atom
- Mass density: 10250 kg/m3



Record 5
Sm4TlCu: optimized geometry, PBE.

a = 6.157 Å, b = 9.127 Å, c = 6.392 Å
α = 90.00°, β = 105.06°, γ = 90.00°
Element x y z (fractional)
Sm1 0.628 0.672 0.601
Sm2 0.936 0.346 0.877
Sm3 0.064 0.654 0.123
Sm4 0.372 0.328 0.399
Sm5 0.564 0.846 0.123
Sm6 0.436 0.154 0.877
Sm7 0.128 0.828 0.601
Sm8 0.872 0.172 0.399
Tl1 0.500 0.500 0.000
Tl2 0.000 0.000 0.000
Cu1 0.000 0.500 0.500
Cu2 0.500 0.000 0.500

- Raw total energy: -50.84 eV per cell
- Space-group type: No. 14
- Formation enthalpy at 0 K: -14 meV per atom
- Energy above the lowest structure with this stoichiometry: 0.137 eV per atom
- Mass density: 8324 kg/m3



Record 6
SmTlCu: optimized geometry, PBE.

a = 4.005 Å, b = 7.681 Å, c = 13.505 Å
α = 90.00°, β = 90.00°, γ = 90.00°
Element x y z (fractional)
Tl1 0.500 0.577 0.621
Tl2 0.500 0.811 0.250
Tl3 0.500 0.423 0.121
Tl4 0.500 0.423 0.379
Tl5 0.500 0.189 0.750
Tl6 0.500 0.577 0.879
Cu1 0.500 0.948 0.587
Cu2 0.500 0.948 0.913
Cu3 0.000 0.556 0.250
Cu4 0.500 0.052 0.413
Cu5 0.000 0.444 0.750
Cu6 0.500 0.052 0.087
Sm1 0.000 0.235 0.954
Sm2 0.000 0.146 0.250
Sm3 0.000 0.235 0.546
Sm4 0.000 0.765 0.046
Sm5 0.000 0.765 0.454
Sm6 0.000 0.854 0.750

- Raw total energy: -71.75 eV per cell
- Space-group type: No. 51
- Formation enthalpy at 0 K: -259 meV per atom
- Mass density: 10032 kg/m3



Record 7
SmTlCu: optimized geometry, PBE.

a = 4.458 Å, b = 3.790 Å, c = 8.700 Å
α = 77.42°, β = 90.00°, γ = 90.00°
Element x y z (fractional)
Cu1 0.750 0.461 0.078
Cu2 0.250 0.539 0.922
Tl1 0.750 0.294 0.411
Tl2 0.250 0.706 0.589
Sm1 0.250 0.908 0.184
Sm2 0.750 0.092 0.816

- Raw total energy: -23.75 eV per cell
- Space-group type: No. 63
- Formation enthalpy at 0 K: -232 meV per atom
- Mass density: 9683 kg/m3



Record 8
SmTlCu: optimized geometry, PBE.

a = 3.500 Å, b = 3.500 Å, c = 6.223 Å
α = 106.33°, β = 106.33°, γ = 90.00°
Element x y z (fractional)
Cu1 0.278 0.278 0.556
Sm1 0.933 0.933 0.867
Tl1 0.639 0.639 0.278

- Raw total energy: -11.43 eV per cell
- Space-group type: No. 107
- Formation enthalpy at 0 K: -84 meV per atom
- Mass density: 9928 kg/m3



Copy entry 5 word for word.
Sm4TlCu: optimized geometry, PBE.

a = 6.157 Å, b = 9.127 Å, c = 6.392 Å
α = 90.00°, β = 105.06°, γ = 90.00°
Element x y z (fractional)
Sm1 0.628 0.672 0.601
Sm2 0.936 0.346 0.877
Sm3 0.064 0.654 0.123
Sm4 0.372 0.328 0.399
Sm5 0.564 0.846 0.123
Sm6 0.436 0.154 0.877
Sm7 0.128 0.828 0.601
Sm8 0.872 0.172 0.399
Tl1 0.500 0.500 0.000
Tl2 0.000 0.000 0.000
Cu1 0.000 0.500 0.500
Cu2 0.500 0.000 0.500

- Raw total energy: -50.84 eV per cell
- Space-group type: No. 14
- Formation enthalpy at 0 K: -14 meV per atom
- Energy above the lowest structure with this stoichiometry: 0.137 eV per atom
- Mass density: 8324 kg/m3